(1)
Material: MgClF3
Method: DFT, PBE-GGA
State: optimized geometry

Summary:
Calculated volume (Å³/atom): 16.01
Energy above the lowest structure with this stoichiometry (eV per atom): 0.0000
E_form (uncorrected) (eV/atom): -2.11
Calculated density (g cm⁻³): 2.4
Total magnetization (μB per formula unit): 0.00

Lattice parameters (Å, degrees): 5.3868 5.9194 6.0242 105.00 98.89 59.68
Last column: nearest neighbours and their distance in Å.
Fractional positions:
Mg 0.8748 0.3130 0.5304  5 F 1.92-2.13
Mg 0.4934 0.9868 0.5241  5 F 1.92-2.13
Cl 0.5494 0.4615 0.0237  2 F 1.90-1.93
Cl 0.8187 0.8383 0.0307  2 F 1.90-1.93
F 0.1848 0.2073 0.3380  2 Mg 1.92-1.93
F 0.1833 0.0925 0.7165  2 Mg 1.92-1.93
F 0.5616 0.3186 0.7013  1 Cl 1.90, 1 Mg 2.09
F 0.5563 0.5995 0.3503  1 Cl 1.93, 2 Mg 2.11-2.13
F 0.8065 0.9812 0.3532  1 Cl 1.90, 1 Mg 2.09
F 0.8118 0.7003 0.7042  1 Cl 1.93, 2 Mg 2.11-2.13

=====

(2)
Material: MgClF3
Method: DFT, PBE-GGA
State: optimized geometry

Summary:
Calculated volume (Å³/atom): 13.04
Energy above the lowest structure with this stoichiometry (eV per atom): 0.2334
E_form (uncorrected) (eV/atom): -1.87
Calculated density (g cm⁻³): 3.0
Total magnetization (μB per formula unit): 2.00

Lattice parameters (Å, degrees): 4.0251 4.0251 4.0251 90.00 90.00 90.00
Last column: nearest neighbours and their distance in Å.
Fractional positions:
Mg 0.0000 0.0000 0.0000  6 F 2.01
F 0.0000 0.5000 0.0000  2 Mg 2.01
F 0.0000 0.0000 0.5000  2 Mg 2.01
F 0.5000 0.0000 0.0000  2 Mg 2.01
Cl 0.5000 0.5000 0.5000  12 F 2.85

=====

(3)
Material: MgCl2F
Method: DFT, PBE-GGA
State: optimized geometry

Summary:
Calculated volume (Å³/atom): 22.28
Energy above the lowest structure with this stoichiometry (eV per atom): 0.0000
E_form (uncorrected) (eV/atom): -1.26
Calculated density (g cm⁻³): 2.1
Total magnetization (μB per formula unit): 1.00

Lattice parameters (Å, degrees): 7.6523 7.6523 7.6523 28.32 28.32 28.32
Last column: nearest neighbours and their distance in Å.
Fractional positions:
Mg 0.5000 0.5000 0.5000  6 Cl 2.53
F 0.0000 0.0000 0.0000  2 Cl 2.35
Cl 0.8931 0.8931 0.8931  1 F 2.35, 3 Mg 2.53
Cl 0.1069 0.1069 0.1069  1 F 2.35, 3 Mg 2.53

=====

(4)
Material: MgNClF2
Method: DFT, PBE-GGA
State: optimized geometry

Summary:
Calculated volume (Å³/atom): 15.13
Energy above the lowest structure with this stoichiometry (eV per atom): 0.8610
E_form (uncorrected) (eV/atom): 0.04
Calculated density (g cm⁻³): 2.5
Total magnetization (μB per formula unit): 0.00

Lattice parameters (Å, degrees): 4.7923 4.7923 3.2934 90.00 90.00 90.00
Last column: nearest neighbours and their distance in Å.
Fractional positions:
N 0.0000 0.0000 0.5000  2 Cl 1.65
Mg 0.5000 0.5000 0.5000  8 F 2.91
F 0.0000 0.5000 0.0000  2 Cl 2.40
F 0.5000 0.0000 0.0000  2 Cl 2.40
Cl 0.0000 0.0000 0.0000  2 N 1.65

=====

(5)
Material: MgNClF2
Method: DFT, PBE-GGA
State: optimized geometry

Summary:
Calculated volume (Å³/atom): 17.89
Energy above the lowest structure with this stoichiometry (eV per atom): 0.0000
E_form (uncorrected) (eV/atom): -0.83
Calculated density (g cm⁻³): 2.1
Total magnetization (μB per formula unit): 2.04

Lattice parameters (Å, degrees): 3.7030 3.7030 6.5222 90.00 90.00 90.00
Last column: nearest neighbours and their distance in Å.
Fractional positions:
N 0.0000 0.0000 0.5000  4 Cl 2.62
Mg 0.0000 0.0000 0.0000  4 F 1.85
F 0.0000 0.5000 0.0000  2 Mg 1.85
F 0.5000 0.0000 0.0000  2 Mg 1.85
Cl 0.5000 0.5000 0.5000  4 N 2.62

=====

(6)
Material: Mg2NClF
Method: DFT, PBE-GGA
State: optimized geometry

Summary:
Calculated volume (Å³/atom): 17.63
E_form (uncorrected) (eV/atom): -0.05
Calculated density (g cm⁻³): 2.2
Total magnetization (μB per formula unit): 2.02

Lattice parameters (Å, degrees): 4.2033 4.9904 4.2033 90.00 90.00 90.00
Last column: nearest neighbours and their distance in Å.
Fractional positions:
N 0.5000 0.5000 0.5000  4 Cl 2.97, 8 Mg 3.26
Mg 0.0000 0.0000 0.5000  2 F 2.10
Mg 0.5000 0.0000 0.0000  2 F 2.10
F 0.0000 0.0000 0.0000  4 Mg 2.10
Cl 0.0000 0.5000 0.0000  2 F 2.50

=====

(7)
Material: MgN2ClF
Method: DFT, PBE-GGA
State: optimized geometry

Summary:
Calculated volume (Å³/atom): 15.04
Energy above the lowest structure with this stoichiometry (eV per atom): 0.0000
E_form (uncorrected) (eV/atom): 0.73
Calculated density (g cm⁻³): 2.4
Total magnetization (μB per formula unit): 3.94

Lattice parameters (Å, degrees): 4.4853 4.4853 3.7382 90.00 90.00 90.00
Last column: nearest neighbours and their distance in Å.
Fractional positions:
N 0.0000 0.5000 0.0000  2 Mg 2.24
N 0.5000 0.0000 0.0000  2 Mg 2.24
Mg 0.0000 0.0000 0.0000  2 F 1.87
F 0.0000 0.0000 0.5000  2 Mg 1.87
Cl 0.5000 0.5000 0.5000  8 N 2.92, 4 F 3.17

=====

(8)
Material: MgN2ClF
Method: DFT, PBE-GGA
State: optimized geometry

Summary:
Calculated volume (Å³/atom): 12.95
Energy above the lowest structure with this stoichiometry (eV per atom): 0.3341
E_form (uncorrected) (eV/atom): 1.07
Calculated density (g cm⁻³): 2.7
Total magnetization (μB per formula unit): 0.56

Lattice parameters (Å, degrees): 3.6504 3.6504 4.8583 90.00 90.00 90.00
Last column: nearest neighbours and their distance in Å.
Fractional positions:
N 0.0000 0.5000 0.0000  2 Cl 1.83
N 0.5000 0.0000 0.0000  2 Cl 1.83
Mg 0.5000 0.5000 0.5000  4 F 2.58
F 0.0000 0.0000 0.5000  2 Cl 2.43, 4 Mg 2.58
Cl 0.0000 0.0000 0.0000  4 N 1.83

=====

(9)
Material: MgNbCl2F
Method: DFT, PBE-GGA
State: optimized geometry

Summary:
Calculated volume (Å³/atom): 22.78
E_form (uncorrected) (eV/atom): -0.93
Calculated density (g cm⁻³): 3.0
Total magnetization (μB per formula unit): 3.05

Lattice parameters (Å, degrees): 5.1743 4.2546 5.1743 90.00 90.00 90.00
Last column: nearest neighbours and their distance in Å.
Fractional positions:
Nb 0.0000 0.0000 0.0000  2 F 2.13
F 0.0000 0.5000 0.0000  2 Nb 2.13
Mg 0.5000 0.5000 0.5000  8 Cl 3.35, 4 F 3.66
Cl 0.0000 0.0000 0.5000  2 Nb 2.59
Cl 0.5000 0.0000 0.0000  2 Nb 2.59

=====

(10)
Material: MgNbClF2
Method: DFT, PBE-GGA
State: optimized geometry

Summary:
Calculated volume (Å³/atom): 18.00
E_form (uncorrected) (eV/atom): -1.52
Calculated density (g cm⁻³): 3.5
Total magnetization (μB per formula unit): 3.62

Lattice parameters (Å, degrees): 3.7967 3.7967 6.2437 90.00 90.00 90.00
Last column: nearest neighbours and their distance in Å.
Fractional positions:
Nb 0.5000 0.5000 0.5000  4 Cl 2.68
F 0.0000 0.5000 0.0000  2 Mg 1.90
F 0.5000 0.0000 0.0000  2 Mg 1.90
Mg 0.0000 0.0000 0.0000  4 F 1.90
Cl 0.0000 0.0000 0.5000  4 Nb 2.68

=====

(11)
Material: MgOsClF2
Method: DFT, PBE-GGA
State: optimized geometry

Summary:
Calculated volume (Å³/atom): 17.38
E_form (uncorrected) (eV/atom): -0.79
Calculated density (g cm⁻³): 5.5
Total magnetization (μB per formula unit): 0.00

Lattice parameters (Å, degrees): 3.9809 5.4829 3.9809 90.00 90.00 90.00
Last column: nearest neighbours and their distance in Å.
Fractional positions:
Mg 0.0000 0.5000 0.0000  2 Os 2.74, 4 Cl 2.81
F 0.0000 0.0000 0.5000  2 Os 1.99
F 0.5000 0.0000 0.0000  2 Os 1.99
Os 0.0000 0.0000 0.0000  4 F 1.99
Cl 0.5000 0.5000 0.5000  4 Mg 2.81

=====

(12)
Material: MgPbCl2F
Method: DFT, PBE-GGA
State: optimized geometry

Summary:
Calculated volume (Å³/atom): 34.31
E_form (uncorrected) (eV/atom): -0.52
Calculated density (g cm⁻³): 3.1
Total magnetization (μB per formula unit): 0.33

Lattice parameters (Å, degrees): 5.3746 5.9380 5.3746 90.00 90.00 90.00
Last column: nearest neighbours and their distance in Å.
Fractional positions:
Pb 0.0000 0.0000 0.0000  4 Cl 2.69, 2 Mg 2.97
Mg 0.0000 0.5000 0.0000  2 Pb 2.97
F 0.5000 0.5000 0.5000  4 Mg 3.80, 8 Cl 4.00
Cl 0.0000 0.0000 0.5000  2 Pb 2.69
Cl 0.5000 0.0000 0.0000  2 Pb 2.69

=====

Question: E_form (uncorrected) of number 9 (MgNbCl2F)?
Answer: -0.93 eV/atom